(1)
Density functional theory data (GGA-PBE) for a relaxed GdAlZnCd crystal.

```
data_GdAlZnCd
_chemical_formula_sum 'Gd4 Al4 Zn4 Cd4'
_symmetry_space_group_name_H-M 'P 1'
_symmetry_Int_Tables_number 1
_symmetry_space_group_name_Hall 'P 1'
_cell_length_a 6.945
_cell_length_b 6.945
_cell_length_c 6.945
_cell_angle_alpha 90.00
_cell_angle_beta 90.00
_cell_angle_gamma 90.00
loop_
_atom_site_label
_atom_site_fract_x
_atom_site_fract_y
_atom_site_fract_z
Gd1 0.000 0.000 0.000
Gd2 0.000 0.500 0.500
Gd3 0.500 0.000 0.500
Gd4 0.500 0.500 0.000
Al1 0.250 0.250 0.250
Al2 0.250 0.750 0.750
Al3 0.750 0.250 0.750
Al4 0.750 0.750 0.250
Zn1 0.250 0.250 0.750
Zn2 0.250 0.750 0.250
Zn3 0.750 0.250 0.250
Zn4 0.750 0.750 0.750
Cd1 0.000 0.000 0.500
Cd2 0.000 0.500 0.000
Cd3 0.500 0.000 0.000
Cd4 0.500 0.500 0.500
```

Energy of formation: -0.23 eV/atom
Volume: 20.93 Å³ per atom
SG: F-43m (216)

(2)
Density functional theory data (GGA-PBE) for a relaxed AlCd2Ge crystal.

```
data_AlCd2Ge
_chemical_formula_sum 'Al4 Cd8 Ge4'
_symmetry_space_group_name_H-M 'P 1'
_symmetry_Int_Tables_number 1
_symmetry_space_group_name_Hall 'P 1'
_cell_length_a 4.070
_cell_length_b 4.070
_cell_length_c 20.865
_cell_angle_alpha 90.00
_cell_angle_beta 90.00
_cell_angle_gamma 90.00
loop_
_atom_site_label
_atom_site_fract_x
_atom_site_fract_y
_atom_site_fract_z
Al1 0.000 0.000 0.000
Al2 0.000 0.500 0.250
Al3 0.500 0.000 0.750
Al4 0.500 0.500 0.500
Cd1 0.248 0.250 0.125
Cd2 0.250 0.748 0.375
Cd3 0.250 0.752 0.875
Cd4 0.252 0.250 0.625
Cd5 0.748 0.750 0.625
Cd6 0.750 0.248 0.875
Cd7 0.750 0.252 0.375
Cd8 0.752 0.750 0.125
Ge1 0.000 0.000 0.500
Ge2 0.000 0.500 0.750
Ge3 0.500 0.000 0.250
Ge4 0.500 0.500 0.000
```

Energy of formation: 0.20 eV/atom
Volume: 21.60 Å³ per atom
Relative energy among the computed polymorphs: 0 meV per atom
SG: I-42d (122)

(3)
Density functional theory data (GGA-PBE) for a relaxed Al2CdGe crystal.

```
data_Al2CdGe
_chemical_formula_sum 'Al8 Cd4 Ge4'
_symmetry_space_group_name_H-M 'P 1'
_symmetry_Int_Tables_number 1
_symmetry_space_group_name_Hall 'P 1'
_cell_length_a 6.779
_cell_length_b 6.779
_cell_length_c 6.779
_cell_angle_alpha 90.00
_cell_angle_beta 90.00
_cell_angle_gamma 90.00
loop_
_atom_site_label
_atom_site_fract_x
_atom_site_fract_y
_atom_site_fract_z
Al1 0.250 0.250 0.250
Al2 0.250 0.250 0.750
Al3 0.250 0.750 0.250
Al4 0.250 0.750 0.750
Al5 0.750 0.250 0.250
Al6 0.750 0.250 0.750
Al7 0.750 0.750 0.250
Al8 0.750 0.750 0.750
Cd1 0.000 0.000 0.000
Cd2 0.000 0.500 0.500
Cd3 0.500 0.000 0.500
Cd4 0.500 0.500 0.000
Ge1 0.000 0.000 0.500
Ge2 0.000 0.500 0.000
Ge3 0.500 0.000 0.000
Ge4 0.500 0.500 0.500
```

Energy of formation: 0.24 eV/atom
Volume: 19.47 Å³ per atom
Relative energy among the computed polymorphs: 62 meV per atom
SG: Fm-3m (225)